The following is a GGA-PBE calculation of a relaxed Cs3DyO3 crystal, from Alexandria.

The structure in extended XYZ format:
```
28
Lattice="8.224 0.000 0.000 0.000 7.695 0.000 -1.148 0.000 12.342" Properties=species:S:1:pos:R:3 pbc="T T T"
Cs 0.325 0.960 1.943
Cs -0.249 2.888 8.114
Cs 1.788 1.189 11.381
Cs 2.362 2.659 5.210
Cs 2.223 5.210 9.994
Cs 2.797 6.333 3.824
Cs 4.278 1.362 8.518
Cs 4.852 2.485 2.347
Cs 4.714 5.036 7.131
Cs 5.288 6.506 0.960
Cs 7.324 4.807 4.227
Cs 6.750 6.735 10.398
Dy 1.187 4.544 0.875
Dy 0.612 6.998 7.046
Dy 6.463 0.697 5.296
Dy 5.889 3.151 11.467
O 0.438 0.410 5.142
O -0.136 3.438 11.312
O 1.354 5.009 6.815
O 1.929 6.534 0.644
O 1.598 0.338 8.617
O 2.172 3.510 2.446
O 4.903 4.185 9.895
O 5.477 7.357 3.725
O 5.147 1.161 11.697
O 5.721 2.686 5.527
O 7.212 4.257 1.029
O 6.638 7.286 7.200
```

Results
Formation energy from raw total energies = -1.9264 eV/atom
D(E_F) = 0.0 states/eV per cell